[1]
## BaCa2HgH (PBE)

Data for a relaxed BaCa2HgH crystal.

Unit cell a=5.112 b=5.112 c=5.501 alpha=90.00 beta=90.00 gamma=90.00
Fractional positions:
Ba 0.000 0.000 0.000
Ca 0.000 0.500 0.500
Ca 0.500 0.000 0.500
Hg 0.500 0.500 0.000
H 0.000 0.000 0.500

Computed properties:
Calculated volume: 143.73 Å³/f.u.
Total DFT energy (no corrections): -2.18 eV/atom
Magnetization: 0.0 μB per formula unit

=====

[2]
## Ba2CaHgH (PBE)

Data for a relaxed Ba2CaHgH crystal.

Unit cell a=5.846 b=5.846 c=4.746 alpha=90.00 beta=90.00 gamma=90.00
Fractional positions:
Ba 0.000 0.500 0.000
Ba 0.500 0.000 0.000
Ca 0.000 0.000 0.500
Hg 0.500 0.500 0.500
H 0.000 0.000 0.000

Computed properties:
Calculated volume: 162.22 Å³/f.u.
Total DFT energy (no corrections): -2.19 eV/atom
Magnetization: 0.0 μB per formula unit

=====

[3]
## BaCa2H8Ir (PBE)

Data for a relaxed BaCa2H8Ir crystal.

Unit cell a=4.928 b=4.928 c=7.693 alpha=90.00 beta=90.00 gamma=120.00
Fractional positions:
Ba 0.000 0.000 0.000
Ca 0.333 0.667 0.362
Ca 0.667 0.333 0.638
H 0.162 0.323 0.632
H 0.162 0.838 0.632
H 0.323 0.162 0.368
H 0.333 0.667 0.077
H 0.667 0.333 0.923
H 0.677 0.838 0.632
H 0.838 0.162 0.368
H 0.838 0.677 0.368
Ir 0.000 0.000 0.500

Computed properties:
Calculated volume: 161.77 Å³/f.u.
Total DFT energy (no corrections): -4.02 eV/atom
Magnetization: 0.0 μB per formula unit

=====

[4]
## KBa2CaH (PBE)

Data for a relaxed KBa2CaH crystal.

Unit cell a=6.422 b=6.422 c=5.233 alpha=90.00 beta=90.00 gamma=90.00
Fractional positions:
K 0.000 0.000 0.000
Ba 0.000 0.500 0.500
Ba 0.500 0.000 0.500
Ca 0.500 0.500 0.000
H 0.500 0.500 0.500

Computed properties:
Calculated volume: 215.82 Å³/f.u.
Total DFT energy (no corrections): -2.06 eV/atom
Magnetization: 0.0 μB per formula unit
Offset from the most stable computed form: 0.0274 eV/atom

=====

[5]
## KBa2CaH (PBE)

Data for a relaxed KBa2CaH crystal.

Unit cell a=5.952 b=5.952 c=6.115 alpha=90.00 beta=90.00 gamma=90.00
Fractional positions:
K 0.000 0.000 0.000
Ba 0.000 0.500 0.500
Ba 0.500 0.000 0.500
Ca 0.500 0.500 0.000
H 0.000 0.000 0.500

Computed properties:
Calculated volume: 216.65 Å³/f.u.
Total DFT energy (no corrections): -2.09 eV/atom
Magnetization: 0.0 μB per formula unit
Offset from the most stable computed form: 0.0000 eV/atom

=====

[6]
## BaCaLa2H (PBE)

Data for a relaxed BaCaLa2H crystal.

Unit cell a=5.336 b=5.336 c=5.750 alpha=90.00 beta=90.00 gamma=90.00
Fractional positions:
Ba 0.000 0.000 0.000
Ca 0.500 0.500 0.000
La 0.000 0.500 0.500
La 0.500 0.000 0.500
H 0.500 0.500 0.500

Computed properties:
Calculated volume: 163.73 Å³/f.u.
Total DFT energy (no corrections): -3.45 eV/atom
Magnetization: 0.0 μB per formula unit
Offset from the most stable computed form: 0.0210 eV/atom